Entry 1:
The following is a PBE calculation of Cs2CrGaSe4 after structural relaxation, from the Alexandria database.

E_form (uncorrected) in eV/f.u.: -6.88
Density in g cm⁻³: 4.0
Electronic total energy in Ry/atom: -0.3232
DOS at the Fermi energy in states/eV/cell: 3.5

a b c (Å): 14.600 13.152 7.794
angles (deg): 84.24 63.68 32.08
Fractional positions:
Cs  0.054  0.054  0.696
Cs  0.304  0.304  0.946
Cs  0.696  0.696  0.054
Cs  0.946  0.946  0.304
Cr  0.125  0.125  0.125
Cr  0.875  0.875  0.875
Ga  0.375  0.375  0.375
Ga  0.625  0.625  0.625
Se  0.017  0.334  0.415
Se  0.266  0.585  0.666
Se  0.334  0.017  0.734
Se  0.415  0.734  0.017
Se  0.585  0.266  0.983
Se  0.666  0.983  0.266
Se  0.734  0.415  0.334
Se  0.983  0.666  0.585

Entry 2:
The following is a PBE calculation of Cs2VCrGa after structural relaxation, from the Alexandria database.

Density in g cm⁻³: 3.7
Electronic total energy in Ry/atom: -0.2418
DFT formation energy in eV/atom: 1.405
DOS at the Fermi energy in states/eV/cell: 12.4

a b c (Å): 7.016 7.016 4.031
angles (deg): 90.00 90.00 90.00
Fractional positions:
Cs  0.000  0.500  0.000
Cs  0.500  0.000  0.000
V  0.000  0.000  0.000
Cr  0.000  0.000  0.500
Ga  0.500  0.500  0.500

> Number 2 is which compound?

Cs2VCrGa